Entry from OQMD: an optimized crystal structure of Sr2CoBi (GGA-PBE).

CIF file:
```
data_Sr2CoBi
_chemical_formula_sum 'Sr8 Co4 Bi4'
_cell_length_a 7.4531
_cell_length_b 7.4531
_cell_length_c 7.4531
_cell_angle_alpha 90.00
_cell_angle_beta 90.00
_cell_angle_gamma 90.00
_space_group_name_H-M_alt 'F -4 3 m'
_space_group_IT_number 216
_space_group_name_Hall 'F -4 2 3'
loop_
_atom_site_label
_atom_site_fract_x
_atom_site_fract_y
_atom_site_fract_z
Sr1 0.0000 0.0000 0.0000
Sr2 0.2500 0.2500 0.2500
Co1 0.2500 0.2500 0.7500
Bi1 0.0000 0.0000 0.5000
```

Entry from OQMD: an optimized crystal structure of SrCoBi2 (GGA-PBE).

CIF file:
```
data_SrCoBi2
_chemical_formula_sum 'Sr4 Co4 Bi8'
_cell_length_a 7.5443
_cell_length_b 7.5443
_cell_length_c 7.5443
_cell_angle_alpha 90.00
_cell_angle_beta 90.00
_cell_angle_gamma 90.00
_space_group_name_H-M_alt 'F -4 3 m'
_space_group_IT_number 216
_space_group_name_Hall 'F -4 2 3'
loop_
_atom_site_label
_atom_site_fract_x
_atom_site_fract_y
_atom_site_fract_z
Sr1 0.0000 0.0000 0.0000
Co1 0.2500 0.2500 0.2500
Bi1 0.0000 0.0000 0.5000
Bi2 0.2500 0.2500 0.7500
```

no.,E_tot (eV per atom)
1,-3.435
2,-3.951